No. 1
3
Lattice="-2.438 -0.161 1.581 2.590 -0.362 1.278 0.328 6.453 1.164" Properties=species:S:1:pos:R:3 comment="TaNiAu (GGA-PBE, optimized geometry)" e_above_lowest_polymorph_kj_per_mol_atoms=25.3 delta_e_f_ev_per_atom=0.08 density_g_cm3=15.052 pbc="T T T"
Ta -0.551 3.935 2.231
Ni 1.026 1.920 1.778
Au 0.004 0.075 0.014

No. 2
4
Lattice="4.472 0.355 -0.521 -1.439 4.249 -0.521 0.296 0.449 2.840" Properties=species:S:1:pos:R:3 comment="TaNi2Au (GGA-PBE, optimized geometry)" delta_e_f_ev_per_atom=-0.01 density_g_cm3=14.329 pbc="T T T"
Ni 0.000 0.000 0.000
Ni 1.516 2.302 -0.521
Au -0.572 2.349 1.160
Ta 2.384 0.402 1.160

No. 3
4
Lattice="-2.027 1.901 -1.618 -2.140 -2.396 -0.136 -2.248 1.733 4.852" Properties=species:S:1:pos:R:3 comment="TaNi2Au (GGA-PBE, optimized geometry)" delta_e_f_ev_per_atom=-0.16 density_g_cm3=14.152 pbc="T T T"
Ni -1.074 0.828 2.318
Ni -0.050 0.038 0.108
Ta -2.645 0.186 0.336
Au -3.769 1.052 2.762

No. 4
3
Lattice="-4.293 0.872 -0.524 1.286 -3.968 1.438 -0.134 0.894 2.588" Properties=species:S:1:pos:R:3 comment="TaNiAu (GGA-PBE, optimized geometry)" e_above_lowest_polymorph_kj_per_mol_atoms=7.7 delta_e_f_ev_per_atom=-0.10 density_g_cm3=15.688 pbc="T T T"
Au -0.022 0.149 0.432
Ta -0.663 -1.758 2.510
Ni -2.456 -0.593 0.560

No. 5
5
Lattice="5.097 0.000 0.000 0.000 5.097 0.000 0.000 0.000 5.097" Properties=species:S:1:pos:R:3 comment="TaNiAu3 (GGA-PBE, optimized geometry)" e_above_lowest_polymorph_kj_per_mol_atoms=32.7 delta_e_f_ev_per_atom=1.39 density_g_cm3=10.413 pbc="T T T"
Ni 2.549 2.549 2.549
Ta 0.000 0.000 0.000
Au 2.549 0.000 0.000
Au 0.000 0.000 2.549
Au 0.000 2.549 0.000

No. 6
4
Lattice="2.837 0.000 0.000 0.000 3.802 0.000 0.000 0.000 5.343" Properties=species:S:1:pos:R:3 comment="TaNi2Au (GGA-PBE, optimized geometry)" delta_e_f_ev_per_atom=-0.08 density_g_cm3=14.274 pbc="T T T"
Ni 0.000 0.000 0.095
Ni 1.419 1.901 1.314
Au 1.419 1.901 4.087
Ta 0.000 0.000 2.518

No. 7
4
Lattice="3.047 -0.009 0.000 0.009 3.047 0.000 0.000 0.000 6.229" Properties=species:S:1:pos:R:3 comment="TaNi2Au (GGA-PBE, optimized geometry)" delta_e_f_ev_per_atom=-0.05 density_g_cm3=14.224 pbc="T T T"
Ni 1.528 1.519 1.437
Ni 0.000 0.000 0.214
Au 1.528 1.519 4.845
Ta 0.000 0.000 2.847

No. 8
4
Lattice="9.043 -0.023 -0.013 8.572 2.881 -0.013 8.572 1.391 2.523" Properties=species:S:1:pos:R:3 comment="TaNiAu2 (GGA-PBE, optimized geometry)" delta_e_f_ev_per_atom=0.05 density_g_cm3=15.811 pbc="T T T"
Ni 13.014 2.112 1.240
Au 6.381 1.035 0.608
Au 0.056 0.009 0.005
Ta 19.828 3.217 1.890